No. 1
GeRuN: relaxed, PBE-GGA.

Magnetic moment (μB per formula unit): 0.00
Formation energy from raw total energies (meV per atom): 147.0

The structure in POSCAR format:
```
GeRuN
1.0
-2.476 -3.372 2.696
-1.331 -0.920 -2.373
10.035 -4.587 -3.851
Ge Ru N
4 4 4
Cartesian
3.063 -2.465 -0.763 Ge
-1.508 -3.902 0.620 Ge
4.175 -5.736 -0.119 Ge
7.415 -5.218 -3.875 Ge
4.618 -3.832 -2.843 Ru
0.620 -4.645 -0.286 Ru
6.303 -6.479 -1.025 Ru
0.266 -1.078 0.269 Ru
5.818 -5.594 -2.833 N
4.230 -3.982 -0.830 N
1.466 -2.841 0.279 N
-1.454 -2.148 -0.090 N
```

---

No. 2
YMnCl2: relaxed, PBE-GGA.

Magnetic moment (μB per formula unit): 3.99
Formation energy from raw total energies (meV per atom): -793.7

The structure in POSCAR format:
```
YMnCl2
1.0
7.297 0.192 0.099
6.358 3.585 0.099
1.539 0.426 4.968
Cl Y Mn
2 1 1
Cartesian
6.372 1.762 3.005 Cl
2.764 0.764 4.545 Cl
11.395 3.152 3.874 Y
3.798 1.051 1.291 Mn
```

---

No. 3
LaBeBi: relaxed, PBE-GGA.

Final energy (eV/atom): -4.23
Magnetic moment (μB per formula unit): 0.00

The structure in POSCAR format:
```
LaBeBi
1.0
4.252 0.000 0.000
0.000 4.713 0.000
0.000 2.357 8.500
Bi La Be
2 2 2
Cartesian
1.063 2.357 4.168 Bi
3.189 4.713 4.332 Bi
1.063 4.713 1.581 La
3.189 2.357 6.918 La
3.189 2.357 0.297 Be
1.063 4.713 8.202 Be
```

---

No. 4
PaGePdN: relaxed, PBE-GGA.

Magnetic moment (μB per formula unit): 0.00
Formation energy from raw total energies (meV per atom): -1106.0

The structure in POSCAR format:
```
PaGePdN
1.0
-0.483 2.841 -2.845
2.757 -1.852 -2.318
-5.915 -4.473 -3.461
Pa Pd Ge N
2 2 2 2
Cartesian
-1.050 0.809 -1.896 Pa
-3.729 -4.788 -4.147 Pa
-1.821 -1.742 -4.312 Pd
-2.958 -2.236 -1.731 Pd
-4.270 -1.625 -3.780 Ge
-0.509 -2.353 -2.263 Ge
0.000 0.000 0.000 N
1.137 0.495 -2.582 N
```

---

Copy entry 3 word for word.
LaBeBi: relaxed, PBE-GGA.

Final energy (eV/atom): -4.23
Magnetic moment (μB per formula unit): 0.00

The structure in POSCAR format:
```
LaBeBi
1.0
4.252 0.000 0.000
0.000 4.713 0.000
0.000 2.357 8.500
Bi La Be
2 2 2
Cartesian
1.063 2.357 4.168 Bi
3.189 4.713 4.332 Bi
1.063 4.713 1.581 La
3.189 2.357 6.918 La
3.189 2.357 0.297 Be
1.063 4.713 8.202 Be
```

---

- What is the formula in the first record?
  GeRuN